[1]
# NbCd2N2, optimized geometry, DFT PBE-GGA
data_NbCd2N2
_cell_length_a 4.260
_cell_length_b 4.260
_cell_length_c 8.460
_cell_angle_alpha 90.00
_cell_angle_beta 90.00
_cell_angle_gamma 90.00
_symmetry_space_group_name_H-M 'I 4/m m m'
_symmetry_Int_Tables_number 139
_symmetry_space_group_name_Hall '-I 4 2'
loop_
_atom_site_label
_atom_site_type_symbol
_atom_site_fract_x
_atom_site_fract_y
_atom_site_fract_z
_atom_site_occupancy
Nb1 Nb 0.000 0.000 0.000 1
Cd1 Cd 0.000 0.000 0.347 1
N1 N 0.000 0.500 0.250 1
# - E_tot (eV per atom) = -4.403
# - energy above the lowest structure with this stoichiometry (meV/atom) = 1022
# - crystal system = tetragonal
# - D(E_F) (states/eV per atom) = 0.63

***

[2]
# MnBrCl4, optimized geometry, DFT PBE-GGA
data_MnBrCl4
_cell_length_a 8.181
_cell_length_b 8.181
_cell_length_c 8.181
_cell_angle_alpha 90.00
_cell_angle_beta 90.00
_cell_angle_gamma 90.00
_symmetry_space_group_name_H-M 'F -4 3 m'
_symmetry_Int_Tables_number 216
_symmetry_space_group_name_Hall 'F -4 2 3'
loop_
_atom_site_label
_atom_site_type_symbol
_atom_site_fract_x
_atom_site_fract_y
_atom_site_fract_z
_atom_site_occupancy
Mn1 Mn 0.000 0.000 0.000 1
Br1 Br 0.250 0.250 0.250 1
Cl1 Cl 0.126 0.126 0.626 1
# - E_tot (eV per atom) = -2.486
# - energy above the lowest structure with this stoichiometry (meV/atom) = 1096
# - crystal system = cubic
# - D(E_F) (states/eV per atom) = 0.99

***

[3]
# Sr2Sn4Pd3Rh, optimized geometry, DFT PBE-GGA
data_Sr2Sn4Pd3Rh
_cell_length_a 4.558
_cell_length_b 4.558
_cell_length_c 11.267
_cell_angle_alpha 90.00
_cell_angle_beta 90.00
_cell_angle_gamma 90.00
_symmetry_space_group_name_H-M 'P -4 m 2'
_symmetry_Int_Tables_number 115
loop_
_symmetry_equiv_pos_as_xyz
'x,y,z'
'y,-x,-z'
'-x,-y,z'
'-y,x,-z'
'-x,y,z'
'-y,-x,-z'
'x,-y,z'
'y,x,-z'
loop_
_atom_site_label
_atom_site_type_symbol
_atom_site_fract_x
_atom_site_fract_y
_atom_site_fract_z
_atom_site_occupancy
Sr1 Sr 0.000 0.500 0.247 1
Sn1 Sn 0.000 0.000 0.500 1
Sn2 Sn 0.000 0.500 0.876 1
Sn3 Sn 0.500 0.500 0.500 1
Pd1 Pd 0.000 0.000 0.000 1
Pd2 Pd 0.000 0.500 0.637 1
Rh1 Rh 0.500 0.500 0.000 1
# - E_tot (eV per atom) = -4.924
# - E_form (eV per atom) = -0.69
# - crystal system = tetragonal
# - D(E_F) (states/eV per atom) = 0.65

***

[4]
# Ta2NbRe2, optimized geometry, DFT PBE-GGA
data_Ta2NbRe2
_cell_length_a 7.483
_cell_length_b 7.483
_cell_length_c 3.160
_cell_angle_alpha 90.00
_cell_angle_beta 90.00
_cell_angle_gamma 90.00
_symmetry_space_group_name_H-M 'P 4/m b m'
_symmetry_Int_Tables_number 127
_symmetry_space_group_name_Hall '-P 4 2ab'
loop_
_atom_site_label
_atom_site_type_symbol
_atom_site_fract_x
_atom_site_fract_y
_atom_site_fract_z
_atom_site_occupancy
Ta1 Ta 0.156 0.344 0.000 1
Nb1 Nb 0.000 0.000 0.500 1
Re1 Re 0.143 0.643 0.500 1
# - E_tot (eV per atom) = -11.505
# - E_form (eV per atom) = 0.23
# - energy above the lowest structure with this stoichiometry (meV/atom) = 145
# - crystal system = tetragonal
# - D(E_F) (states/eV per atom) = 1.42